# 1
# NaFeWS2 (meta-GGA SCAN, PBEsol geometry)
# N(E_F), states/eV/cell: 2.9
# ΔE_f (raw), eV/f.u.: 4.07
# E, Ha/atom: -0.7881
data_NaFeWS2
_cell_length_a 4.543
_cell_length_b 4.543
_cell_length_c 4.449
_cell_angle_alpha 90.00
_cell_angle_beta 90.00
_cell_angle_gamma 90.00
_space_group_name_H-M_alt 'P 4/m m m'
_space_group_IT_number 123
_space_group_name_Hall '-P 4 2'
loop_
_atom_site_label
_atom_site_fract_x
_atom_site_fract_y
_atom_site_fract_z
Na1 0.000 0.000 0.000
Fe1 0.500 0.500 0.500
W1 0.500 0.500 0.000
S1 0.000 0.500 0.500

# 2
# KIn2ReTc (meta-GGA SCAN, PBEsol geometry)
# N(E_F), states/eV/cell: 3.9
# E, Ha/atom: -1.2703
data_KIn2ReTc
_cell_length_a 5.166
_cell_length_b 5.166
_cell_length_c 5.336
_cell_angle_alpha 90.00
_cell_angle_beta 90.00
_cell_angle_gamma 90.00
_space_group_name_H-M_alt 'P 4/m m m'
_space_group_IT_number 123
_space_group_name_Hall '-P 4 2'
loop_
_atom_site_label
_atom_site_fract_x
_atom_site_fract_y
_atom_site_fract_z
K1 0.000 0.000 0.000
In1 0.000 0.500 0.500
Re1 0.000 0.000 0.500
Tc1 0.500 0.500 0.000